Density functional theory data (PBE) for an optimized crystal structure of PdI.

As for the density: 7.092 Mg/m³. Its space group is Cm.

Cell lengths 5.771, 4.087, 9.379 Å; angles 90.00, 98.99, 90.00 degrees
Sites, in units of the cell vectors:
1 Pd 0.575 0.500 0.156
2 Pd 0.787 0.500 0.489
3 Pd 0.787 0.000 0.989
4 Pd 0.575 0.000 0.656
5 I 0.065 0.000 0.618
6 I 0.065 0.500 0.118
7 I 0.531 0.000 0.349
8 I 0.531 0.500 0.849

Density functional theory data (PBE) for an optimized crystal structure of PdI.

As for the density: 6.831 Mg/m³. Its space group is P2_1/m.

Cell lengths 4.046, 4.174, 6.763 Å; angles 90.00, 96.68, 90.00 degrees
Sites, in units of the cell vectors:
1 Pd 0.793 0.750 0.546
2 Pd 0.207 0.250 0.454
3 I 0.751 0.250 0.780
4 I 0.249 0.750 0.220

Density functional theory data (PBE) for an optimized crystal structure of PdI2.

As for the density: 5.471 Mg/m³. Its space group is P2_1/c.

Cell lengths 8.953, 7.137, 7.094 Å; angles 74.74, 90.00, 90.00 degrees
Sites, in units of the cell vectors:
1 I 0.826 0.567 0.251
2 I 0.422 0.986 0.775
3 I 0.078 0.986 0.275
4 I 0.174 0.433 0.749
5 I 0.578 0.014 0.225
6 I 0.326 0.433 0.249
7 I 0.674 0.567 0.751
8 I 0.922 0.014 0.725
9 Pd 0.131 0.221 0.497
10 Pd 0.869 0.779 0.503
11 Pd 0.631 0.779 0.003
12 Pd 0.369 0.221 0.997

Density functional theory data (PBE) for an optimized crystal structure of PdI.

As for the density: 6.752 Mg/m³. Its space group is P2_12_12_1.

Cell lengths 6.830, 7.965, 8.438 Å; angles 90.00, 90.00, 90.00 degrees
Sites, in units of the cell vectors:
1 I 0.282 0.884 0.870
2 I 0.260 0.625 0.332
3 I 0.218 0.116 0.370
4 I 0.782 0.616 0.130
5 I 0.240 0.375 0.832
6 I 0.718 0.384 0.630
7 I 0.740 0.125 0.168
8 I 0.760 0.875 0.668
9 Pd 0.472 0.627 0.714
10 Pd 0.136 0.799 0.586
11 Pd 0.636 0.701 0.414
12 Pd 0.864 0.299 0.914
13 Pd 0.972 0.873 0.286
14 Pd 0.528 0.127 0.786
15 Pd 0.364 0.201 0.086
16 Pd 0.028 0.373 0.214

Density functional theory data (PBE) for an optimized crystal structure of PdI.

As for the density: 6.625 Mg/m³. Its space group is Pmmn.

Cell lengths 4.390, 6.310, 12.666 Å; angles 90.00, 90.00, 90.00 degrees
Sites, in units of the cell vectors:
1 Pd 0.500 0.953 0.184
2 Pd 0.500 0.953 0.816
3 Pd 0.000 0.047 0.316
4 Pd 0.000 0.449 0.000
5 Pd 0.500 0.551 0.500
6 Pd 0.000 0.047 0.684
7 I 0.500 0.282 0.665
8 I 0.500 0.282 0.335
9 I 0.000 0.787 0.500
10 I 0.000 0.718 0.835
11 I 0.500 0.213 0.000
12 I 0.000 0.718 0.165

Density functional theory data (PBE) for an optimized crystal structure of Pd3I4.

As for the density: 6.755 Mg/m³. Its space group is C2/m.

Cell lengths 3.941, 7.653, 7.129 Å; angles 80.07, 106.05, 90.00 degrees
Sites, in units of the cell vectors:
1 Pd 0.764 0.746 0.528
2 Pd 0.236 0.254 0.472
3 Pd 0.000 0.000 0.000
4 I 0.386 0.819 0.772
5 I 0.863 0.302 0.725
6 I 0.137 0.698 0.275
7 I 0.614 0.181 0.228

Density functional theory data (PBE) for an optimized crystal structure of PdI.

As for the density: 6.499 Mg/m³. Its space group is F-43m.

Cell lengths 6.201, 6.201, 6.201 Å; angles 90.00, 90.00, 90.00 degrees
Sites, in units of the cell vectors:
1 Pd 0.750 0.750 0.250
2 Pd 0.250 0.250 0.250
3 Pd 0.750 0.250 0.750
4 Pd 0.250 0.750 0.750
5 I 0.500 0.000 0.500
6 I 0.000 0.000 0.000
7 I 0.000 0.500 0.500
8 I 0.500 0.500 0.000

Density functional theory data (PBE) for an optimized crystal structure of PdI.

As for the density: 6.997 Mg/m³. Its space group is Fddd.

Cell lengths 8.313, 13.401, 7.954 Å; angles 90.00, 90.00, 90.00 degrees
Sites, in units of the cell vectors:
1 Pd 0.750 0.142 0.250
2 Pd 0.250 0.642 0.250
3 Pd 0.500 0.108 0.500
4 Pd 0.000 0.608 0.500
5 Pd 0.750 0.858 0.750
6 Pd 0.250 0.142 0.750
7 Pd 0.250 0.358 0.750
8 Pd 0.250 0.858 0.250
9 Pd 0.500 0.392 0.000
10 Pd 0.750 0.642 0.750
11 Pd 0.500 0.608 0.000
12 Pd 0.000 0.892 0.000
13 Pd 0.000 0.392 0.500
14 Pd 0.000 0.108 0.000
15 Pd 0.750 0.358 0.250
16 Pd 0.500 0.892 0.500
17 I 0.280 0.000 0.000
18 I 0.220 0.000 0.500
19 I 0.030 0.250 0.250
20 I 0.970 0.750 0.250
21 I 0.530 0.250 0.750
22 I 0.470 0.750 0.750
23 I 0.780 0.500 0.000
24 I 0.280 0.500 0.500
25 I 0.220 0.500 0.000
26 I 0.470 0.250 0.250
27 I 0.720 0.000 0.000
28 I 0.530 0.750 0.250
29 I 0.780 0.000 0.500
30 I 0.970 0.250 0.750
31 I 0.030 0.750 0.750
32 I 0.720 0.500 0.500

Density functional theory data (PBE) for an optimized crystal structure of PdI2.

As for the density: 6.347 Mg/m³. Its space group is I4_1/amd.

Cell lengths 5.750, 5.750, 7.003 Å; angles 114.24, 114.24, 90.00 degrees
Sites, in units of the cell vectors:
1 I 0.265 0.265 0.530
2 I 0.735 0.735 0.470
3 I 0.985 0.485 0.970
4 I 0.515 0.015 0.030
5 Pd 0.500 0.500 0.000
6 Pd 0.750 0.250 0.500

Density functional theory data (PBE) for an optimized crystal structure of PdI.

As for the density: 5.677 Mg/m³. Its space group is I4/m.

Cell lengths 11.624, 11.624, 4.041 Å; angles 90.00, 90.00, 90.00 degrees
Sites, in units of the cell vectors:
1 Pd 0.390 0.952 0.500
2 Pd 0.890 0.452 0.000
3 Pd 0.048 0.390 0.500
4 Pd 0.110 0.548 0.000
5 Pd 0.452 0.110 0.000
6 Pd 0.610 0.048 0.500
7 Pd 0.952 0.610 0.500
8 Pd 0.548 0.890 0.000
9 I 0.252 0.569 0.500
10 I 0.752 0.069 0.000
11 I 0.069 0.248 0.000
12 I 0.248 0.931 0.000
13 I 0.748 0.431 0.500
14 I 0.431 0.252 0.500
15 I 0.931 0.752 0.000
16 I 0.569 0.748 0.500

Density functional theory data (PBE) for an optimized crystal structure of Pm2PdI.

As for the density: 6.917 Mg/m³. The energy relative to the lowest polymorph listed for this composition is 0 meV per atom. Its space group is R-3m.

Cell lengths 4.244, 4.244, 8.417 Å; angles 89.99, 104.62, 119.99 degrees
Sites, in units of the cell vectors:
1 I 0.024 0.753 0.552
2 Pm 0.482 0.982 0.240
3 Pm 0.564 0.523 0.863
4 Pd 0.023 0.253 0.052

Density functional theory data (PBE) for an optimized crystal structure of Pm2PdI.

As for the density: 7.899 Mg/m³. The energy relative to the lowest polymorph listed for this composition is 170 meV per atom. Its space group is P4/mmm.

Cell lengths 3.632, 3.632, 8.339 Å; angles 90.00, 90.00, 90.00 degrees
Sites, in units of the cell vectors:
1 Pd 0.500 0.500 0.000
2 Pm 0.000 0.000 0.211
3 Pm 0.000 0.000 0.789
4 I 0.500 0.500 0.500

Listing energy for the structures above in their given order: -3.3924; -3.3579; -2.9890; -3.3800; -3.3644; -3.2089; -3.3363; -3.3674; -2.9460; -3.4313; -4.9287; -4.7584 eV per atom.
Listing E_form (uncorrected) for the structures above in their given order: -0.021; 0.014; -0.225; -0.009; 0.007; -0.098; 0.035; 0.004; -0.182; -0.060; -0.868; -0.697 eV/atom.